A geometry-optimized HoEr3Sc2Te6 structure, computed with PBE.

The structure in CIF format:
```
data_HoEr3Sc2Te6
_chemical_formula_sum 'Ho2 Er6 Sc4 Te12'
_cell_length_a 18.620
_cell_length_b 4.266
_cell_length_c 8.568
_cell_angle_alpha 90.00
_cell_angle_beta 103.19
_cell_angle_gamma 90.00
_space_group_name_H-M_alt 'C 1 2/m 1'
_space_group_IT_number 12
_space_group_name_Hall '-C 2y'
loop_
_atom_site_label
_atom_site_type_symbol
_atom_site_fract_x
_atom_site_fract_y
_atom_site_fract_z
Ho1 Ho 0.000 0.000 0.000
Er1 Er 0.000 0.000 0.500
Er2 Er 0.162 0.500 0.830
Sc1 Sc 0.166 0.500 0.333
Te1 Te 0.005 0.500 0.253
Te2 Te 0.169 0.000 0.091
Te3 Te 0.170 0.000 0.577
```

- VASP energy: -5.3256 eV per atom



A geometry-optimized Ho3Er3ScTe8 structure, computed with PBE.

The structure in CIF format:
```
data_Ho3Er3ScTe8
_chemical_formula_sum 'Ho9 Er9 Sc3 Te24'
_cell_length_a 8.6075
_cell_length_b 8.6075
_cell_length_c 21.0921
_cell_angle_alpha 90.00
_cell_angle_beta 90.00
_cell_angle_gamma 120.00
_space_group_name_H-M_alt 'R -3 m'
_space_group_IT_number 166
_space_group_name_Hall '-R 3 2"'
loop_
_atom_site_label
_atom_site_type_symbol
_atom_site_fract_x
_atom_site_fract_y
_atom_site_fract_z
Ho1 Ho 0.0000 0.5000 0.0000
Er1 Er 0.0000 0.5000 0.5000
Sc1 Sc 0.0000 0.0000 0.0000
Te1 Te 0.0000 0.0000 0.2495
Te2 Te 0.0017 0.5008 0.7500
```

- VASP energy: -5.2246 eV per atom



no.,formation energy from raw total energies (eV/atom),volume (Å³/f.u.)
1,-1.1774,331.3
2,-1.2988,451.1